# PtRh2 | Alexandria via LeMat-Bulk | SCAN | PBEsol geometry
# **Offset from the most stable computed form**: 0.26 eV per formula unit
# **V**: 14.0 Å³ per atom
# **Formation energy from the elements**: 0.053 eV/atom
data_PtRh2
_chemical_formula_sum 'Pt4 Rh8'
_cell_length_a 10.073
_cell_length_b 2.697
_cell_length_c 6.443
_cell_angle_alpha 90.00
_cell_angle_beta 105.93
_cell_angle_gamma 90.00
_space_group_name_H-M_alt 'C 1 2/m 1'
_space_group_IT_number 12
loop_
_space_group_symop_operation_xyz
'x,y,z'
'-x,-y,-z'
'-x,y,-z'
'x,-y,z'
'x+1/2,y+1/2,z'
'-x+1/2,-y+1/2,-z'
'-x+1/2,y+1/2,-z'
'x+1/2,-y+1/2,z'
loop_
_atom_site_label
_atom_site_fract_x
_atom_site_fract_y
_atom_site_fract_z
Pt1 0.027 0.000 0.303
Rh1 0.143 0.500 0.029
Rh2 0.198 0.500 0.641


# YNb3F | Alexandria via LeMat-Bulk | SCAN | PBEsol geometry
# **V**: 17.7 Å³ per atom
# **Formation energy without anion corrections**: -92 meV per atom
data_YNb3F
_chemical_formula_sum 'Y1 Nb3 F1'
_cell_length_a 4.458
_cell_length_b 4.458
_cell_length_c 4.458
_cell_angle_alpha 90.00
_cell_angle_beta 90.00
_cell_angle_gamma 90.00
_space_group_name_H-M_alt 'P m -3 m'
_space_group_IT_number 221
_space_group_name_Hall '-P 4 2 3'
loop_
_atom_site_label
_atom_site_fract_x
_atom_site_fract_y
_atom_site_fract_z
Y1 0.000 0.000 0.000
Nb1 0.000 0.500 0.500
F1 0.500 0.500 0.500


# ZrZn2Ru | Alexandria via LeMat-Bulk | SCAN | PBEsol geometry
# **V**: 15.3 Å³ per atom
# **Formation energy from the elements**: -0.162 eV/atom
data_ZrZn2Ru
_chemical_formula_sum 'Zr2 Zn4 Ru2'
_cell_length_a 5.246
_cell_length_b 7.358
_cell_length_c 3.174
_cell_angle_alpha 90.00
_cell_angle_beta 90.00
_cell_angle_gamma 90.00
_space_group_name_H-M_alt 'C m m m'
_space_group_IT_number 65
_space_group_name_Hall '-C 2 2'
loop_
_atom_site_label
_atom_site_fract_x
_atom_site_fract_y
_atom_site_fract_z
Zr1 0.000 0.000 0.000
Zn1 0.250 0.250 0.500
Ru1 0.000 0.500 0.000


# Sr3FeO | Alexandria via LeMat-Bulk | SCAN | PBEsol geometry
# **Offset from the most stable computed form**: 0.00 eV per formula unit
# **V**: 25.9 Å³ per atom
# **Formation energy without anion corrections**: -770 meV per atom
data_Sr3FeO
_chemical_formula_sum 'Sr3 Fe1 O1'
_cell_length_a 5.059
_cell_length_b 5.059
_cell_length_c 5.059
_cell_angle_alpha 90.00
_cell_angle_beta 90.00
_cell_angle_gamma 90.00
_space_group_name_H-M_alt 'P m -3 m'
_space_group_IT_number 221
_space_group_name_Hall '-P 4 2 3'
loop_
_atom_site_label
_atom_site_fract_x
_atom_site_fract_y
_atom_site_fract_z
Sr1 0.000 0.000 0.500
Fe1 0.500 0.500 0.500
O1 0.000 0.000 0.000


# LaIn2Ir | Alexandria via LeMat-Bulk | SCAN | PBEsol geometry
# **V**: 22.4 Å³ per atom
# **Formation energy from the elements**: 0.035 eV/atom
data_LaIn2Ir
_chemical_formula_sum 'La2 In4 Ir2'
_cell_length_a 5.651
_cell_length_b 10.181
_cell_length_c 3.109
_cell_angle_alpha 90.00
_cell_angle_beta 90.00
_cell_angle_gamma 90.00
_space_group_name_H-M_alt 'C m m m'
_space_group_IT_number 65
_space_group_name_Hall '-C 2 2'
loop_
_atom_site_label
_atom_site_fract_x
_atom_site_fract_y
_atom_site_fract_z
La1 0.000 0.000 0.000
In1 0.250 0.250 0.500
Ir1 0.000 0.500 0.000


# AlIr2Cl | Alexandria via LeMat-Bulk | SCAN | PBEsol geometry
# **Offset from the most stable computed form**: 0.34 eV per formula unit
# **V**: 14.6 Å³ per atom
# **Formation energy without anion corrections**: 620 meV per atom
data_AlIr2Cl
_chemical_formula_sum 'Al2 Ir4 Cl2'
_cell_length_a 3.647
_cell_length_b 3.647
_cell_length_c 8.799
_cell_angle_alpha 90.00
_cell_angle_beta 90.00
_cell_angle_gamma 90.00
_space_group_name_H-M_alt 'I -4 m 2'
_space_group_IT_number 119
_space_group_name_Hall 'I -4 -2'
loop_
_atom_site_label
_atom_site_fract_x
_atom_site_fract_y
_atom_site_fract_z
Al1 0.000 0.000 0.000
Ir1 0.000 0.000 0.500
Ir2 0.000 0.500 0.750
Cl1 0.000 0.500 0.250


DOS(E_F) values (in states/eV per atom) by entry order: 1.717, 0.691, 0.395, 1.900, 0.553, 0.975.